Here is crystalline MoSeS2Cl at its relaxed geometry from Alexandria. Energies are from PBE.

Computed properties:
The value obtained for the offset from the most stable computed form is 0.00 eV per formula unit. Its space group is No. 123. For the total magnetization, the calculation gives 0.0 μB/f.u. The calculation puts the raw formation energy at 1.10 eV/f.u.

The structure in extended XYZ format:
```
5
Lattice="4.6995 0.0000 0.0000 0.0000 4.6995 0.0000 0.0000 0.0000 4.7286" Properties=species:S:1:pos:R:3 pbc="T T T"
Mo 0.0000 0.0000 0.0000
S 0.0000 2.3497 0.0000
S 2.3497 0.0000 0.0000
Se 2.3497 2.3497 2.3643
Cl 0.0000 0.0000 2.3643
```

Here is crystalline NaSr3Pd at its relaxed geometry from Alexandria. Energies are from PBE.

Computed properties:
The value obtained for the offset from the most stable computed form is 0.25 eV per formula unit. Its space group is No. 14. The formation energy from the elements comes out at -0.24 eV per atom. For the total magnetization, the calculation gives 0.0 μB/f.u.

The structure in extended XYZ format:
```
20
Lattice="27.1678 0.0000 -1.2645 0.0000 7.4587 0.0000 -9.4980 0.0000 4.4171" Properties=species:S:1:pos:R:3 pbc="T T T"
Sr -0.5661 0.4484 2.4389
Sr 18.2359 7.0103 0.7136
Sr -0.0970 4.1777 3.5544
Sr 17.7668 3.2809 -0.4019
Sr 6.1485 2.2452 0.7400
Sr 11.5213 5.2135 2.4126
Sr 2.6864 5.9745 0.8363
Sr 14.9834 1.4842 2.3162
Sr 14.3810 5.6682 -0.2899
Sr 3.2888 1.7905 3.4425
Sr 21.6217 1.9388 0.6017
Sr -3.9519 5.5198 2.5509
Pd -2.5508 2.7760 2.1446
Pd 20.2206 4.6827 1.0079
Pd 1.8877 6.5053 3.8487
Pd 15.7821 0.9534 -0.6962
Na 7.4373 6.3488 1.5829
Na 10.2324 1.1099 1.5696
Na 1.3976 2.6194 -0.0066
Na 16.2722 4.8392 3.1592
```

Here is crystalline BaBiF2 at its relaxed geometry from Alexandria. Energies are from PBE.

Computed properties:
The value obtained for the offset from the most stable computed form is 2.26 eV per formula unit. Its space group is No. 225. For the total magnetization, the calculation gives 2.9 μB/f.u. The calculation puts the raw formation energy at -7.20 eV/f.u.

The structure in extended XYZ format:
```
4
Lattice="1.3231 -3.8342 -3.0874 -3.5512 -2.3744 -2.7812 -0.1262 0.6390 -5.0557" Properties=species:S:1:pos:R:3 pbc="T T T"
F -0.5886 -1.3924 -2.7311
F -1.7658 -4.1772 -8.1932
Bi -1.1772 -2.7848 -5.4621
Ba 0.0000 0.0000 0.0000
```

Here is crystalline K2HfPbS4 at its relaxed geometry from Alexandria. Energies are from PBE.

Computed properties:
Its space group is No. 10. For the total magnetization, the calculation gives 0.0 μB/f.u. The calculation puts the raw formation energy at -9.88 eV/f.u.

The structure in extended XYZ format:
```
8
Lattice="-1.6032 -3.6219 0.2199 3.3292 -1.8732 -6.5818 6.4782 -2.7678 1.6424" Properties=species:S:1:pos:R:3 pbc="T T T"
K 6.4782 -2.7678 1.6423
K 2.4375 -3.1948 0.9311
Hf 4.9037 -2.3205 -2.4697
Pb 0.8630 -2.7476 -3.1810
S 7.0323 -3.3216 -3.4403
S 1.1719 -4.9413 -1.2793
S 3.4369 -3.9346 -3.9669
S 4.7673 -4.3283 -0.7527
```

Here is crystalline Tl2WS4 at its relaxed geometry from Alexandria. Energies are from PBE.

Computed properties:
The value obtained for the offset from the most stable computed form is 1.97 eV per formula unit. Its space group is No. 139. For the total magnetization, the calculation gives 0.0 μB/f.u. The calculation puts the raw formation energy at -1.64 eV/f.u.

The structure in extended XYZ format:
```
7
Lattice="4.6943 0.0000 0.0000 0.0000 4.6943 0.0000 2.3472 2.3472 8.1281" Properties=species:S:1:pos:R:3 pbc="T T T"
Tl 2.3472 2.3472 2.5480
Tl 4.6943 4.6943 5.5801
S 2.3472 2.3472 5.7237
S 4.6943 4.6943 2.4044
S 0.0000 2.3472 0.0000
S 2.3472 0.0000 0.0000
W 0.0000 0.0000 0.0000
```

Here is crystalline BaSbSeN2 at its relaxed geometry from Alexandria. Energies are from PBE.

Computed properties:
The value obtained for the offset from the most stable computed form is 0.00 eV per formula unit. Its space group is No. 123. For the total magnetization, the calculation gives 1.3 μB/f.u. The calculation puts the raw formation energy at 1.41 eV/f.u.

The structure in extended XYZ format:
```
5
Lattice="4.3688 0.0000 0.0000 0.0000 4.3688 0.0000 0.0000 0.0000 5.4540" Properties=species:S:1:pos:R:3 pbc="T T T"
Sb 0.0000 0.0000 0.0000
Ba 2.1844 2.1844 2.7270
Se 0.0000 0.0000 2.7270
N 0.0000 2.1844 0.0000
N 2.1844 0.0000 0.0000
```

Here is crystalline Sc5Si10Rh4 at its relaxed geometry from Alexandria. Energies are from PBE.

Computed properties:
Its space group is No. 127. For the total magnetization, the calculation gives 0.0 μB/f.u. The calculation puts the raw formation energy at -15.84 eV/f.u.

The structure in extended XYZ format:
```
38
Lattice="12.3976 0.0000 0.0000 0.0000 12.3976 0.0000 0.0000 0.0000 4.0512" Properties=species:S:1:pos:R:3 pbc="T T T"
Sc 6.1988 6.1988 0.0000
Sc 0.0000 0.0000 0.0000
Sc 8.3642 2.1654 2.0256
Sc 4.0334 10.2322 2.0256
Sc 2.1654 4.0334 2.0256
Sc 10.2322 8.3642 2.0256
Sc 10.9869 4.7881 2.0256
Sc 1.4106 7.6094 2.0256
Sc 4.7881 1.4106 2.0256
Sc 7.6094 10.9869 2.0256
Si 7.0127 0.8139 0.0000
Si 5.3848 11.5836 0.0000
Si 0.8139 5.3848 0.0000
Si 11.5836 7.0127 0.0000
Si 8.2336 8.6851 0.0000
Si 4.1639 3.7124 0.0000
Si 2.0348 9.9112 0.0000
Si 10.3627 2.4864 0.0000
Si 3.7124 8.2336 0.0000
Si 8.6851 4.1639 0.0000
Si 2.4864 2.0348 0.0000
Si 9.9112 10.3627 0.0000
Si 8.0936 6.2421 2.0256
Si 4.3040 6.1554 2.0256
Si 1.8948 12.3542 2.0256
Si 10.5028 0.0434 2.0256
Si 6.1554 8.0936 2.0256
Si 6.2421 4.3040 2.0256
Si 0.0434 1.8948 2.0256
Si 12.3542 10.5028 2.0256
Rh 9.2514 6.4483 0.0000
Rh 3.1461 5.9493 0.0000
Rh 3.0527 12.1481 0.0000
Rh 9.3449 0.2495 0.0000
Rh 5.9493 9.2514 0.0000
Rh 6.4483 3.1461 0.0000
Rh 0.2495 3.0527 0.0000
Rh 12.1481 9.3449 0.0000
```

Here is crystalline Rb5CdBi2 at its relaxed geometry from Alexandria. Energies are from PBE.

Computed properties:
Its space group is No. 194. The formation energy from the elements comes out at -0.29 eV per atom. For the total magnetization, the calculation gives 0.0 μB/f.u.

The structure in extended XYZ format:
```
16
Lattice="-1.4097 3.3376 5.4829 -3.2925 -5.5036 -1.4348 15.2978 -12.0970 11.2970" Properties=species:S:1:pos:R:3 pbc="T T T"
Rb 5.4979 -4.3476 4.0601
Rb 2.1510 -1.7009 1.5885
Rb 1.7872 -2.6337 6.0013
Rb 13.1468 -10.3961 9.7086
Rb -1.2806 -0.2078 3.7358
Rb 8.8085 -11.6293 9.3439
Rb 11.8762 -14.0552 11.6093
Rb 5.7407 -9.2034 7.0784
Rb 4.8549 -5.0596 8.2667
Rb 9.7999 -7.7494 7.2370
Cd 1.1596 -5.5808 3.6953
Cd 9.4361 -8.6822 11.6498
Bi 7.5001 -7.1513 10.2201
Bi -0.7764 -4.0499 2.2657
Bi 3.0955 -7.1117 5.1250
Bi 11.3721 -10.2131 13.0794
```

Here is crystalline NdEr2NpP4 at its relaxed geometry from Alexandria. Energies are from PBE.

Computed properties:
Its space group is No. 10. The formation energy from the elements comes out at -1.39 eV per atom. For the total magnetization, the calculation gives 3.6 μB/f.u.

The structure in extended XYZ format:
```
8
Lattice="4.0087 0.0000 0.0000 0.0000 6.9600 0.1316 0.0000 -2.4230 6.5022" Properties=species:S:1:pos:R:3 pbc="T T T"
Nd 2.0044 3.4800 0.0658
Er 2.0044 -1.2115 3.2511
Er 0.0000 2.2685 3.3169
Np 0.0000 0.0000 0.0000
P 2.0044 1.0841 1.6699
P 2.0044 3.4529 4.9639
P 0.0000 -0.1386 4.8698
P 0.0000 4.6756 1.7640
```

Here is crystalline P2HOs2 at its relaxed geometry from Alexandria. Energies are from PBE.

Computed properties:
The value obtained for the offset from the most stable computed form is 1.31 eV per formula unit. Its space group is No. 127. For the total magnetization, the calculation gives 0.4 μB/f.u.

The structure in extended XYZ format:
```
10
Lattice="6.8604 0.0000 0.0000 0.0000 6.8604 0.0000 0.0000 0.0000 2.7950" Properties=species:S:1:pos:R:3 pbc="T T T"
P 2.4210 5.8512 0.0000
P 5.8512 4.4394 0.0000
P 4.4394 1.0092 0.0000
P 1.0092 2.4210 0.0000
Os 1.0027 4.4329 1.3975
Os 4.4329 5.8577 1.3975
Os 5.8577 2.4275 1.3975
Os 2.4275 1.0027 1.3975
H 0.0000 0.0000 0.0000
H 3.4302 3.4302 0.0000
```

Here is crystalline La2Nd9Sm at its relaxed geometry from Alexandria. Energies are from PBE.

Computed properties:
Its space group is No. 123. The formation energy from the elements comes out at 0.01 eV per atom. For the total magnetization, the calculation gives 0.0 μB/f.u.

The structure in extended XYZ format:
```
12
Lattice="-1.1820 3.6057 3.5779 -4.5551 0.8732 -2.3849 -6.7415 -10.9926 8.8510" Properties=species:S:1:pos:R:3 pbc="T T T"
La -2.2453 -3.6611 2.9479
La -4.4962 -7.3315 5.9032
Nd -2.8686 2.2395 0.5965
Nd -5.1077 -1.4117 3.5363
Nd -7.3709 -5.1020 6.5077
Nd -1.7016 -0.0080 3.2470
Nd -3.9617 -3.6935 6.2144
Nd -6.2219 -7.3789 9.1819
Nd -3.3881 -1.3743 0.2657
Nd -5.6483 -5.0597 3.2331
Nd -7.9084 -8.7451 6.2005
Sm 0.0000 0.0000 0.0000
```